DFT (GGA-PBE) results for a relaxed AcPrPaN3 crystal.

a = 7.7753 Å, b = 3.8741 Å, c = 9.2137 Å
α = 90.00°, β = 98.38°, γ = 90.00°
Space group P2_1/m (No. 11)
Symmetry-distinct sites (fractional):
Ac1 0.1688 0.2500 0.1365
Pr1 0.3772 0.7500 0.8507
Pa1 0.0648 0.2500 0.6065
N1 0.0987 0.2500 0.8486
N2 0.1970 0.7500 0.6022
N3 0.3947 0.7500 0.1134

Summary:
Raw total energy   -98.4 eV/cell
Crystal system   monoclinic
Formation energy without anion corrections   -974 meV/atom